23
Lattice="-4.082 -0.419 0.718 0.833 -2.947 3.017 2.751 18.732 14.474" Properties=species:S:1:pos:R:3 comment="Nd4Ga17Ni2 | the Alexandria database | SCAN | single point on PBEsol structure" space_group="Imm2 (44)" dft_energy_ev_per_atom=-21.57 delta_e_f_mev_per_atom=-500.6 pbc="T T T"
Nd -1.188 4.924 8.200
Nd 0.692 10.482 10.047
Nd -0.675 12.701 15.654
Nd 0.176 2.673 2.562
Ga -1.383 1.975 5.374
Ga 0.887 13.437 12.879
Ga -1.498 0.242 3.712
Ga 1.004 15.200 14.570
Ga -0.876 9.649 12.729
Ga 0.379 5.741 5.503
Ga -1.225 12.155 12.211
Ga 1.236 10.934 13.401
Ga 0.728 3.243 6.030
Ga -1.733 4.454 4.829
Ga -0.992 7.894 11.047
Ga 0.495 7.495 7.184
Ga -1.476 8.355 8.568
Ga 0.979 7.038 9.667
Ga 1.482 14.665 16.978
Ga 0.464 -0.747 2.205
Ga -1.981 0.702 1.233
Ni 0.000 0.003 0.003
Ni -0.983 15.814 15.717